Entry 1:
LaEuSn2 | PBE-GGA | relaxed

As for the excess energy over the best structure of this formula in the dataset: 0.056 eV/atom. Its space group is No. 225.

Cell: 5.573 5.573 5.573 Å, 60.00 60.00 60.00°
Fractional coordinates of all 4 atoms:
Eu1 0.000 0.000 0.000
Sn1 0.750 0.750 0.750
Sn2 0.250 0.250 0.250
La1 0.500 0.500 0.500


Entry 2:
LaEuSn | PBE-GGA | relaxed

As for the excess energy over the best structure of this formula in the dataset: 0.005 eV/atom. Its space group is No. 216.

Cell: 5.444 5.444 5.444 Å, 60.00 60.00 60.00°
Fractional coordinates of all 3 atoms:
La1 0.500 0.500 0.500
Eu1 0.000 0.000 0.000
Sn1 0.250 0.250 0.250


Entry 3:
LaEuSn | PBE-GGA | relaxed

As for the excess energy over the best structure of this formula in the dataset: 0.174 eV/atom. Its space group is No. 156.

Cell: 3.439 5.450 5.450 Å, 120.00 90.00 90.00°
Fractional coordinates of all 3 atoms:
Sn1 0.666 0.667 0.333
La1 0.168 0.333 0.667
Eu1 0.165 0.000 0.000


Entry 4:
LaEuSn2 | PBE-GGA | relaxed

As for the excess energy over the best structure of this formula in the dataset: 0.007 eV/atom. Its space group is No. 123.

Cell: 4.565 5.123 5.123 Å, 90.00 90.00 90.00°
Fractional coordinates of all 4 atoms:
La1 0.500 0.500 0.500
Sn1 0.000 0.500 0.000
Sn2 0.000 0.000 0.500
Eu1 0.500 0.000 0.000


Entry 5:
LaEu2Sn | PBE-GGA | relaxed

As for the excess energy over the best structure of this formula in the dataset: 0.514 eV/atom. Its space group is No. 166.

Cell: 3.673 3.673 13.045 Å, 81.91 81.91 60.00°
Fractional coordinates of all 4 atoms:
Eu1 0.085 0.085 0.746
Eu2 0.915 0.915 0.254
La1 0.500 0.500 0.500
Sn1 0.000 0.000 0.000


Entry 6:
LaTbEuSn | PBE-GGA | relaxed

The value obtained for the total DFT energy (no corrections) is -24.97 eV per cell. Its space group is No. 216.

Cell: 5.581 5.581 5.581 Å, 60.00 60.00 60.00°
Fractional coordinates of all 4 atoms:
Sn1 0.250 0.250 0.250
La1 0.000 0.000 0.000
Eu1 0.750 0.750 0.750
Tb1 0.500 0.500 0.500


Entry 7:
LaEuTlSn | PBE-GGA | relaxed

The value obtained for the total DFT energy (no corrections) is -23.79 eV per cell. Its space group is No. 216.

Cell: 5.596 5.596 5.596 Å, 60.00 60.00 60.00°
Fractional coordinates of all 4 atoms:
La1 0.000 0.000 0.000
Tl1 0.250 0.250 0.250
Eu1 0.500 0.500 0.500
Sn1 0.750 0.750 0.750


Entry 8:
SrLaEu2 | PBE-GGA | relaxed

As for the excess energy over the best structure of this formula in the dataset: 0.062 eV/atom. Its space group is No. 225.

Cell: 6.258 6.258 6.258 Å, 60.00 60.00 60.00°
Fractional coordinates of all 4 atoms:
Eu1 0.250 0.250 0.250
Eu2 0.750 0.750 0.750
Sr1 0.500 0.500 0.500
La1 0.000 0.000 0.000


Entry 9:
SrLaEu | PBE-GGA | relaxed

The value obtained for the total DFT energy (no corrections) is -16.63 eV per cell. Its space group is No. 156.

Cell: 3.935 3.935 9.753 Å, 90.00 90.00 120.00°
Fractional coordinates of all 3 atoms:
La1 0.333 0.667 0.657
Eu1 0.667 0.333 0.347
Sr1 0.000 0.000 0.997


Entry 10:
SrLaEu2 | PBE-GGA | relaxed

As for the excess energy over the best structure of this formula in the dataset: 0.000 eV/atom. Its space group is No. 123.

Cell: 3.926 3.926 11.304 Å, 90.00 90.00 90.00°
Fractional coordinates of all 4 atoms:
Eu1 0.000 0.000 0.769
Eu2 0.000 0.000 0.231
La1 0.500 0.500 0.000
Sr1 0.500 0.500 0.500


Entry 11:
SrLaEu2 | PBE-GGA | relaxed

As for the excess energy over the best structure of this formula in the dataset: 0.006 eV/atom. Its space group is No. 166.

Cell: 3.936 3.936 13.191 Å, 81.42 81.42 60.00°
Fractional coordinates of all 4 atoms:
Eu1 0.254 0.254 0.238
Eu2 0.746 0.746 0.762
La1 0.000 0.000 0.000
Sr1 0.500 0.500 0.500


Entry 12:
SrLaEu | PBE-GGA | relaxed

The value obtained for the total DFT energy (no corrections) is -16.63 eV per cell. Its space group is No. 107.

Cell: 3.933 3.933 8.907 Å, 102.75 102.75 90.00°
Fractional coordinates of all 3 atoms:
Eu1 0.323 0.323 0.647
Sr1 0.003 0.003 0.006
La1 0.674 0.674 0.348